# 1
First-principles (PBE) data for CoWBr2 after structural relaxation, as listed in Alexandria.

abc: 5.681 5.681 10.494
angles: 90.00 90.00 90.00
Space group I-42d (No. 122)
Unique sites:
Co: 0.000 0.000 0.000 (multiplicity 4)
W: 0.000 0.000 0.500 (multiplicity 4)
Br: 0.227 0.250 0.125 (multiplicity 8)

## Properties
crystal system	tetragonal
uncorrected formation energy	1.21	eV per atom

=====

# 2
First-principles (PBE) data for CaHoAg4 after structural relaxation, as listed in Alexandria.

abc: 5.289 9.341 5.290
angles: 90.00 90.00 90.00
Space group Cmmm (No. 65)
Unique sites:
Ca: 0.000 0.000 0.000 (multiplicity 2)
Ho: 0.000 0.500 0.500 (multiplicity 2)
Ag: 0.000 0.172 0.500 (multiplicity 4)
Ag: 0.000 0.330 0.000 (multiplicity 4)

## Properties
crystal system	orthorhombic
ΔE_f	-26	kJ/mol of atoms

=====

What is the formula in the second record?
CaHoAg4